Entry 1:
PBE-GGA Ba2InAgO5, relaxed; space-group type = Cmc2_1; total energy = -5.3074 eV/atom; formation energy from raw total energies = -1.504 eV/atom; N(E_F) = 6.40 states/eV/cell
1.0
1.7916 -7.0462 0.0000
1.7916 7.0462 0.0000
0.0000 0.0000 11.9150
Ba In Ag O
4 2 2 10
direct
0.0914 0.9086 0.5000
0.1513 0.8487 0.1250
0.8487 0.1513 0.6250
0.9086 0.0914 0.0000
0.2106 0.7894 0.8475
0.7894 0.2106 0.3475
0.4762 0.5238 0.2706
0.5238 0.4762 0.7706
0.0622 0.9378 0.8820
0.2716 0.7284 0.4618
0.3287 0.6713 0.2255
0.3718 0.6282 0.8125
0.4834 0.5166 0.6021
0.5166 0.4834 0.1021
0.6282 0.3718 0.3125
0.6713 0.3287 0.7255
0.7284 0.2716 0.9618
0.9378 0.0622 0.3820

Entry 2:
PBE-GGA TlGe3Bi, relaxed; space-group type = Pm-3m; E above lowest polymorph = 0 meV per atom; total energy = -3.1299 eV/atom; N(E_F) = 4.09 states/eV/cell
1.0
5.5981 0.0000 0.0000
0.0000 5.5981 0.0000
0.0000 0.0000 5.5981
Tl Ge Bi
1 3 1
direct
0.0000 0.0000 0.0000
0.0000 0.5000 0.5000
0.5000 0.0000 0.5000
0.5000 0.5000 0.0000
0.5000 0.5000 0.5000

Entry 3:
PBE-GGA Sr3PmH, relaxed; space-group type = Pm-3m; total energy = -2.6156 eV/atom; N(E_F) = 5.43 states/eV/cell
1.0
5.6282 0.0000 0.0000
0.0000 5.6282 0.0000
0.0000 0.0000 5.6282
Sr Pm H
3 1 1
direct
0.0000 0.0000 0.5000
0.0000 0.5000 0.0000
0.5000 0.0000 0.0000
0.5000 0.5000 0.5000
0.0000 0.0000 0.0000

Entry 4:
PBE-GGA ZrInPd4, relaxed; space-group type = P4/mmm; total energy = -5.9453 eV/atom; N(E_F) = 2.19 states/eV/cell
1.0
3.4861 0.0000 0.0000
0.0000 3.4861 0.0000
0.0000 0.0000 8.5652
Zr In Pd
1 1 4
direct
0.0000 0.0000 0.0000
0.5000 0.5000 0.5000
0.0000 0.0000 0.3327
0.0000 0.0000 0.6673
0.5000 0.5000 0.1635
0.5000 0.5000 0.8365

Entry 5:
PBE-GGA RbInGe2I8, relaxed; space-group type = P-1; total energy = -2.6153 eV/atom; formation energy from raw total energies = -0.503 eV/atom
1.0
7.4007 0.0000 0.0000
2.0418 7.9042 0.0000
2.0611 2.4020 9.8396
Rb In Ge I
1 1 2 8
direct
0.0000 0.0000 0.0000
0.0000 0.0000 0.5000
0.4506 0.4224 0.2277
0.5494 0.5776 0.7723
0.1672 0.7163 0.7453
0.2306 0.8122 0.3127
0.2811 0.2268 0.4708
0.4279 0.2527 0.0390
0.5721 0.7473 0.9610
0.7189 0.7732 0.5292
0.7694 0.1878 0.6873
0.8328 0.2837 0.2547

Entry 6:
PBE-GGA FeRh2Br, relaxed; space-group type = P4/mmm; E above lowest polymorph = 247 meV per atom; total energy = -5.6656 eV/atom; formation energy from raw total energies = 0.544 eV/atom; N(E_F) = 4.45 states/eV/cell
1.0
4.5371 0.0000 0.0000
0.0000 4.5371 0.0000
0.0000 0.0000 3.0034
Fe Rh Br
1 2 1
direct
0.0000 0.0000 0.0000
0.0000 0.5000 0.5000
0.5000 0.0000 0.5000
0.5000 0.5000 0.0000

Entry 7:
PBE-GGA Zr2Ta2Tl, relaxed; space-group type = P4/mbm; total energy = -8.3835 eV/atom; N(E_F) = 9.44 states/eV/cell
1.0
7.5283 0.0000 0.0000
0.0000 7.5283 0.0000
0.0000 0.0000 3.8626
Zr Ta Tl
4 4 2
direct
0.1724 0.3276 0.0000
0.3276 0.8276 0.0000
0.6724 0.1724 0.0000
0.8276 0.6724 0.0000
0.1231 0.6231 0.5000
0.3769 0.1231 0.5000
0.6231 0.8769 0.5000
0.8769 0.3769 0.5000
0.0000 0.0000 0.5000
0.5000 0.5000 0.5000

Entry 8:
PBE-GGA CoSb3, relaxed; space-group type = Im-3; E above lowest polymorph = 0 meV per atom; total energy = -5.0579 eV/atom; formation energy from raw total energies = -0.190 eV/atom; N(E_F) = 0.09 states/eV/cell
1.0
-4.5563 4.5563 4.5563
4.5563 -4.5563 4.5563
4.5563 4.5563 -4.5563
Co Sb
4 12
direct
0.0000 0.0000 0.5000
0.0000 0.5000 0.0000
0.5000 0.0000 0.0000
0.5000 0.5000 0.5000
0.1596 0.3336 0.4932
0.1596 0.6664 0.8261
0.1739 0.8404 0.3336
0.3336 0.1739 0.8404
0.3336 0.4932 0.1596
0.4932 0.1596 0.3336
0.5068 0.8404 0.6664
0.6664 0.5068 0.8404
0.6664 0.8261 0.1596
0.8261 0.1596 0.6664
0.8404 0.3336 0.1739
0.8404 0.6664 0.5068

Entry 9:
PBE-GGA LaGd2Ge, relaxed; space-group type = P4/mmm; E above lowest polymorph = 12 meV per atom; total energy = -9.7797 eV/atom; N(E_F) = 4.98 states/eV/cell
1.0
3.8549 0.0000 0.0000
0.0000 3.8549 0.0000
0.0000 0.0000 7.6387
La Gd Ge
1 2 1
direct
0.0000 0.0000 0.0000
0.5000 0.5000 0.3055
0.5000 0.5000 0.6945
0.0000 0.0000 0.5000

Entry 10:
PBE-GGA SrTlTcW2, relaxed; space-group type = P4/mmm; total energy = -4.7580 eV/atom; N(E_F) = 7.30 states/eV/cell
1.0
4.9190 0.0000 0.0000
0.0000 4.9190 0.0000
0.0000 0.0000 4.8318
Sr Tl Tc W
1 1 1 2
direct
0.0000 0.0000 0.0000
0.5000 0.5000 0.5000
0.0000 0.0000 0.5000
0.0000 0.5000 0.0000
0.5000 0.0000 0.0000

Entry 11:
PBE-GGA HfPaCoNi, relaxed; space-group type = Amm2; E above lowest polymorph = 0 meV per atom; total energy = -8.4966 eV/atom; N(E_F) = 3.95 states/eV/cell
1.0
4.2683 0.0000 0.0000
0.0000 1.6901 4.8417
0.0000 -1.6901 4.8417
Hf Pa Co Ni
1 1 1 1
direct
0.0000 0.0000 0.0000
0.5000 0.7205 0.7205
0.5000 0.4527 0.4527
0.0000 0.2762 0.2762

Entry 12:
PBE-GGA LiMg2Al, relaxed; space-group type = I-4m2; total energy = -2.2467 eV/atom; N(E_F) = 1.30 states/eV/cell
1.0
-2.1522 2.1522 4.2591
2.1522 -2.1522 4.2591
2.1522 2.1522 -4.2591
Li Mg Al
1 2 1
direct
0.0000 0.0000 0.0000
0.2500 0.7500 0.5000
0.5000 0.5000 0.0000
0.7500 0.2500 0.5000

Question: Which of these has the highest total energy?
Answer: LiMg2Al

Copy entry 2 word for word.
PBE-GGA TlGe3Bi, relaxed; space-group type = Pm-3m; E above lowest polymorph = 0 meV per atom; total energy = -3.1299 eV/atom; N(E_F) = 4.09 states/eV/cell
1.0
5.5981 0.0000 0.0000
0.0000 5.5981 0.0000
0.0000 0.0000 5.5981
Tl Ge Bi
1 3 1
direct
0.0000 0.0000 0.0000
0.0000 0.5000 0.5000
0.5000 0.0000 0.5000
0.5000 0.5000 0.0000
0.5000 0.5000 0.5000